NdUBr6 | PBE-GGA | relaxed

a = 7.5314 Å, b = 7.5314 Å, c = 7.2267 Å
α = 97.89°, β = 97.89°, γ = 122.63°
Fractional coordinates of all 8 atoms:
Nd1 0.0000 0.0000 0.0000
U1 0.5000 0.5000 0.5000
Br1 0.1021 0.3995 0.2498
Br2 0.2490 0.2490 0.7485
Br3 0.3995 0.1021 0.2498
Br4 0.6005 0.8979 0.7502
Br5 0.7510 0.7510 0.2515
Br6 0.8979 0.6005 0.7502

Calculated values
electronic total energy	-0.1764	hartree per atom
crystal system	monoclinic
ΔE_f (raw)	-1.540	eV/atom